(1)
Entry from Alexandria via LeMat-Bulk: a relaxed structure of KInSn3 (PBE).

Lattice parameters (Å, degrees): 11.2962 6.3765 6.5436 119.16 126.24 90.00
Element x y z (fractional)
1 In 0.5000 0.0000 0.0000
2 Sn 0.8209 0.3844 0.7687
3 In 0.0000 0.0000 0.0000
4 Sn 0.1784 0.1246 0.7443
5 K 0.4272 0.2853 0.5705
6 Sn 0.1784 0.6197 0.7443
7 Sn 0.8216 0.8754 0.2557
8 Sn 0.8216 0.3803 0.2557
9 K 0.5728 0.7147 0.4295
10 Sn 0.1791 0.6156 0.2313

Calculated values
DOS(E_F) = 3.8 states/eV/cell
Offset from the most stable computed form = 0 meV per atom
Magnetic moment = 0.00 μB per atom
Formation energy from the elements = -0.114 eV/atom

---

(2)
Entry from Alexandria via LeMat-Bulk: a relaxed structure of Rb2SnAuBr6 (PBE).

Lattice parameters (Å, degrees): 7.8836 7.8836 7.9225 60.16 60.16 90.00
Element x y z (fractional)
1 Sn 0.5000 0.5000 0.0000
2 Br 0.7519 0.2481 0.0000
3 Rb 0.2500 0.7500 0.5000
4 Rb 0.7500 0.2500 0.5000
5 Br 0.7519 0.7519 0.0000
6 Au 0.0000 0.0000 0.0000
7 Br 0.2481 0.2481 0.0000
8 Br 0.2481 0.7519 0.0000
9 Br 0.7497 0.7497 0.5006
10 Br 0.2503 0.2503 0.4994

Calculated values
DOS(E_F) = 1.4 states/eV/cell
Magnetic moment = 0.00 μB per atom
ΔE_f (raw) = -0.990 eV/atom

---

(3)
Entry from Alexandria via LeMat-Bulk: a relaxed structure of Ca5As4 (PBE).

Lattice parameters (Å, degrees): 8.8495 8.8495 6.8403 90.00 90.00 120.00
Element x y z (fractional)
1 Ca 0.2577 0.2577 0.2500
2 As 0.0000 0.5907 0.7500
3 Ca 0.7423 0.7423 0.7500
4 As 0.4093 0.0000 0.2500
5 As 0.5907 0.5907 0.2500
6 Ca 0.6667 0.3333 0.0000
7 Ca 0.3333 0.6667 0.5000
8 Ca 0.0000 0.7423 0.2500
9 As 0.0000 0.4093 0.2500
10 Ca 0.0000 0.2577 0.7500
11 Ca 0.2577 0.0000 0.7500
12 Ca 0.6667 0.3333 0.5000
13 As 0.4093 0.4093 0.7500
14 As 0.0000 0.0000 0.0000
15 Ca 0.3333 0.6667 0.0000
16 As 0.0000 0.0000 0.5000
17 Ca 0.7423 0.0000 0.2500
18 As 0.5907 0.0000 0.7500

Calculated values
DOS(E_F) = 10.3 states/eV/cell
Offset from the most stable computed form = 0 meV per atom
Magnetic moment = 0.00 μB per atom
Formation energy from the elements = -1.017 eV/atom

---

(4)
Entry from Alexandria via LeMat-Bulk: a relaxed structure of SiNi2Te (PBE).

Lattice parameters (Å, degrees): 2.9136 3.0154 6.9369 90.00 90.00 90.00
Element x y z (fractional)
1 Si 0.5000 0.5000 0.2500
2 Te 0.5000 0.5000 0.7500
3 Ni 0.0000 0.0000 0.0693
4 Ni 0.0000 0.0000 0.4307

Calculated values
DOS(E_F) = 2.6 states/eV/cell
Offset from the most stable computed form = 251 meV per atom
Magnetic moment = 0.00 μB per atom
ΔE_f (raw) = 0.035 eV/atom